(1)
First-principles (PBEsol) data for CeCo2 after structural relaxation, as listed in Alexandria.

Output
crystal system = cubic

CIF file:
```
data_CeCo2
_cell_length_a 4.905
_cell_length_b 4.905
_cell_length_c 4.905
_cell_angle_alpha 60.00
_cell_angle_beta 60.00
_cell_angle_gamma 60.00
_symmetry_space_group_name_H-M 'P 1'
_symmetry_Int_Tables_number 1
_symmetry_space_group_name_Hall 'P 1'
loop_
_atom_site_label
_atom_site_type_symbol
_atom_site_fract_x
_atom_site_fract_y
_atom_site_fract_z
Co1 Co 0.625 0.125 0.625
Ce1 Ce 0.250 0.250 0.250
Co2 Co 0.625 0.625 0.125
Ce2 Ce 0.000 0.000 0.000
Co3 Co 0.125 0.625 0.625
Co4 Co 0.625 0.625 0.625
```

---

(2)
First-principles (PBEsol) data for Cu4Pt after structural relaxation, as listed in Alexandria.

Output
crystal system = tetragonal

CIF file:
```
data_Cu4Pt
_cell_length_a 3.685
_cell_length_b 4.456
_cell_length_c 4.456
_cell_angle_alpha 80.15
_cell_angle_beta 65.57
_cell_angle_gamma 65.57
_symmetry_space_group_name_H-M 'P 1'
_symmetry_Int_Tables_number 1
_symmetry_space_group_name_Hall 'P 1'
loop_
_atom_site_label
_atom_site_type_symbol
_atom_site_fract_x
_atom_site_fract_y
_atom_site_fract_z
Pt1 Pt 0.000 0.000 0.000
Cu1 Cu 0.596 0.601 0.207
Cu2 Cu 0.803 0.793 0.601
Cu3 Cu 0.197 0.207 0.399
Cu4 Cu 0.404 0.399 0.793
```

---

(3)
First-principles (PBEsol) data for MgTlPb2 after structural relaxation, as listed in Alexandria.

Output
crystal system = orthorhombic

CIF file:
```
data_MgTlPb2
_cell_length_a 3.362
_cell_length_b 3.362
_cell_length_c 10.601
_cell_angle_alpha 90.00
_cell_angle_beta 90.00
_cell_angle_gamma 111.88
_symmetry_space_group_name_H-M 'P 1'
_symmetry_Int_Tables_number 1
_symmetry_space_group_name_Hall 'P 1'
loop_
_atom_site_label
_atom_site_type_symbol
_atom_site_fract_x
_atom_site_fract_y
_atom_site_fract_z
Pb1 Pb 0.000 0.000 0.231
Mg1 Mg 0.500 0.500 0.000
Pb2 Pb 0.000 0.000 0.769
Tl1 Tl 0.500 0.500 0.500
```

---

(4)
First-principles (PBEsol) data for CoCuB2Au after structural relaxation, as listed in Alexandria.

Output
crystal system = tetragonal

CIF file:
```
data_CoCuB2Au
_cell_length_a 3.682
_cell_length_b 3.682
_cell_length_c 4.554
_cell_angle_alpha 90.00
_cell_angle_beta 90.00
_cell_angle_gamma 90.00
_symmetry_space_group_name_H-M 'P 1'
_symmetry_Int_Tables_number 1
_symmetry_space_group_name_Hall 'P 1'
loop_
_atom_site_label
_atom_site_type_symbol
_atom_site_fract_x
_atom_site_fract_y
_atom_site_fract_z
Au1 Au 0.500 0.500 0.500
B1 B 0.500 0.000 0.000
Cu1 Cu 0.000 0.000 0.500
Co1 Co 0.000 0.000 0.000
B2 B 0.000 0.500 0.000
```

---

(5)
First-principles (PBEsol) data for BeFeRu2 after structural relaxation, as listed in Alexandria.

Output
crystal system = orthorhombic

CIF file:
```
data_BeFeRu2
_cell_length_a 2.628
_cell_length_b 3.632
_cell_length_c 4.865
_cell_angle_alpha 90.00
_cell_angle_beta 90.00
_cell_angle_gamma 90.00
_symmetry_space_group_name_H-M 'P 1'
_symmetry_Int_Tables_number 1
_symmetry_space_group_name_Hall 'P 1'
loop_
_atom_site_label
_atom_site_type_symbol
_atom_site_fract_x
_atom_site_fract_y
_atom_site_fract_z
Be1 Be 0.000 0.000 0.506
Fe1 Fe 0.500 0.500 0.734
Ru1 Ru 0.500 0.500 0.265
Ru2 Ru 0.000 0.000 0.995
```

---

(6)
First-principles (PBEsol) data for GaAg2C after structural relaxation, as listed in Alexandria.

Output
crystal system = cubic

CIF file:
```
data_GaAg2C
_cell_length_a 4.309
_cell_length_b 4.309
_cell_length_c 4.309
_cell_angle_alpha 60.00
_cell_angle_beta 60.00
_cell_angle_gamma 60.00
_symmetry_space_group_name_H-M 'P 1'
_symmetry_Int_Tables_number 1
_symmetry_space_group_name_Hall 'P 1'
loop_
_atom_site_label
_atom_site_type_symbol
_atom_site_fract_x
_atom_site_fract_y
_atom_site_fract_z
C1 C 0.000 0.000 0.000
Ga1 Ga 0.500 0.500 0.500
Ag1 Ag 0.250 0.250 0.250
Ag2 Ag 0.750 0.750 0.750
```

---

(7)
First-principles (PBEsol) data for LiTc4Pt after structural relaxation, as listed in Alexandria.

Output
crystal system = cubic

CIF file:
```
data_LiTc4Pt
_cell_length_a 5.021
_cell_length_b 5.021
_cell_length_c 5.021
_cell_angle_alpha 60.00
_cell_angle_beta 60.00
_cell_angle_gamma 60.00
_symmetry_space_group_name_H-M 'P 1'
_symmetry_Int_Tables_number 1
_symmetry_space_group_name_Hall 'P 1'
loop_
_atom_site_label
_atom_site_type_symbol
_atom_site_fract_x
_atom_site_fract_y
_atom_site_fract_z
Tc1 Tc 0.874 0.375 0.375
Tc2 Tc 0.375 0.874 0.375
Pt1 Pt 0.000 0.000 0.000
Tc3 Tc 0.375 0.375 0.874
Tc4 Tc 0.375 0.375 0.375
Li1 Li 0.750 0.750 0.750
```

---

(8)
First-principles (PBEsol) data for FeTc2Au after structural relaxation, as listed in Alexandria.

Output
energy above the most stable polymorph in this dataset = 62.9 meV per atom
crystal system = monoclinic

CIF file:
```
data_FeTc2Au
_cell_length_a 2.697
_cell_length_b 4.653
_cell_length_c 4.725
_cell_angle_alpha 100.05
_cell_angle_beta 90.00
_cell_angle_gamma 106.84
_symmetry_space_group_name_H-M 'P 1'
_symmetry_Int_Tables_number 1
_symmetry_space_group_name_Hall 'P 1'
loop_
_atom_site_label
_atom_site_type_symbol
_atom_site_fract_x
_atom_site_fract_y
_atom_site_fract_z
Au1 Au 0.496 0.993 0.488
Fe1 Fe 0.744 0.487 0.236
Tc1 Tc 0.007 0.015 0.996
Tc2 Tc 0.253 0.505 0.780
```

---

Going through the records in order, we get theoretical density values of 10.27 12.30 9.61 9.17 9.55 8.73 11.02 13.36 g cm⁻³.
Going through the records in order, we get E_form values of -0.27 -0.09 0.00 0.86 0.05 1.22 0.39 0.26 eV per atom.